No. 1
## MoRhW (PBE)

Data for a geometry-optimized MoRhW structure.

Lattice parameters (Å, degrees): 3.8026 3.9287 12.3372 90.00 90.00 90.00
Space group Fmm2 (No. 42)
Asymmetric unit:
Mo: 0.0000 0.0000 0.0000 x4
Rh: 0.0000 0.0000 0.6599 x4
W: 0.0000 0.0000 0.3193 x4

## Properties
**Formation energy from the elements**: -0.059 eV per atom
**Volume**: 184.3 Å³/cell


No. 2
## Sc3TaF (PBE)

Data for a geometry-optimized Sc3TaF structure.

Lattice parameters (Å, degrees): 4.4998 4.4998 4.4998 90.00 90.00 90.00
Space group Pm-3m (No. 221)
Asymmetric unit:
Sc: 0.0000 0.0000 0.5000 x3
Ta: 0.5000 0.5000 0.5000 x1
F: 0.0000 0.0000 0.0000 x1

## Properties
**Formation energy from raw total energies**: -0.7642 eV/atom
**Volume**: 91.1 Å³/cell